(1)
# Ce4Pb3

A relaxed structure of Ce4Pb3 (GGA-PBE, the Alexandria database).

abc: 9.631 9.631 9.631
angles: 90.00 90.00 90.00
Space group I-43d (No. 220)
Inequivalent atoms, fractional coordinates:
Ce (0.074, 0.074, 0.074)
Pb (0.000, 0.250, 0.375)

## Properties
DFT formation energy, eV/f.u.: -2.6
Excess energy over the best structure of this formula in the dataset, kJ/mol of formula units: 0
Energy, eV per atom: -5.349
DOS(E_F), states/eV/atom: 3.76



(2)
# Ce6Pb

A relaxed structure of Ce6Pb (GGA-PBE, the Alexandria database).

abc: 7.612 7.612 7.612
angles: 90.00 90.00 90.00
Space group Im-3m (No. 229)
Inequivalent atoms, fractional coordinates:
Ce (0.000, 0.250, 0.500)
Pb (0.000, 0.000, 0.000)

## Properties
DFT formation energy, eV/f.u.: 5.1
Energy, eV per atom: -4.889
DOS(E_F), states/eV/atom: 2.76